No. 1
The following is a PBE-GGA calculation of crystalline Pu2MoOs at its relaxed geometry, from the Alexandria database.

Properties
E_form ... 0.2201 eV per atom
Magnetization ... 8.0 μB/f.u.

Geometry as POSCAR:
```
Pu2MoOs
1.0
-1.355 -1.207 -3.019
3.211 -3.424 -0.072
-2.910 -2.779 2.418
Mo Os Pu
1 1 2
Direct
0.500 0.500 0.500
0.500 0.000 0.000
0.000 0.000 0.500
0.000 0.500 0.000
```

No. 2
The following is a PBE-GGA calculation of crystalline PuSi2MoOs at its relaxed geometry, from the Alexandria database.

Properties
Magnetization ... 5.5 μB/f.u.
Formation energy without anion corrections ... -190 kJ/mol of formula units

Geometry as POSCAR:
```
PuSi2MoOs
1.0
4.045 0.000 0.000
0.000 4.045 0.000
-2.022 -2.022 5.276
Pu Si Mo Os
1 2 1 1
Direct
0.000 0.000 0.000
0.615 0.615 0.230
0.385 0.385 0.770
0.250 0.750 0.500
0.750 0.250 0.500
```

No. 3
The following is a PBE-GGA calculation of crystalline PuUMoOs at its relaxed geometry, from the Alexandria database.

Properties
E_form ... 0.0801 eV per atom
Magnetization ... 5.0 μB/f.u.

Geometry as POSCAR:
```
PuUMoOs
1.0
-0.060 -2.904 3.644
3.583 -0.075 2.978
-0.519 1.685 4.313
Os Mo U Pu
1 1 1 1
Direct
0.750 0.750 0.750
0.000 0.000 0.000
0.250 0.250 0.250
0.500 0.500 0.500
```